MgMo2O4: relaxed, GGA+U.

Output
Space group = Cmcm
Total magnetization = 6.00 μB/f.u.
Calculated volume = 11.89 A^3/atom
Relative energy among the computed polymorphs = 11.6 kJ per mole of atoms

extended XYZ file:
```
14
Lattice="1.5560 -5.1933 0.0000 1.5560 5.1933 0.0000 0.0000 0.0000 10.2967" Properties=species:S:1:pos:R:3 pbc="T T T"
Mo 1.5560 3.8204 5.9097
O 1.5560 -2.8163 9.0973
Mg 1.5560 1.1376 7.7225
O 1.5560 -4.9715 2.5742
Mo 1.5560 -3.8204 0.7613
Mg 1.5560 -1.1376 2.5742
O 1.5560 2.8163 1.1994
O 1.5560 2.8163 3.9490
Mo 1.5560 -3.8204 4.3870
O 1.5560 0.0000 5.1484
O 1.5560 -2.8163 6.3478
O 1.5560 4.9715 7.7225
Mo 1.5560 3.8204 9.5354
O 1.5560 0.0000 0.0000
```